# Th8ZnCo2 GGA-PBE relaxed
# E ... -0.24982 hartree per atom
# Fermi-level density of states ... 1.442 states/eV/atom
# Formation enthalpy at 0 K ... 6 meV/atom
# Calculated volume ... 600.9 Å³ per cell
data_Th8ZnCo2
_chemical_formula_sum 'Th16 Zn2 Co4'
_cell_length_a 8.328
_cell_length_b 13.486
_cell_length_c 5.549
_cell_angle_alpha 90.00
_cell_angle_beta 105.37
_cell_angle_gamma 90.00
_space_group_name_H-M_alt 'C 1 m 1'
_space_group_IT_number 8
loop_
_space_group_symop_operation_xyz
'x,y,z'
'x,-y,z'
'x+1/2,y+1/2,z'
'x+1/2,-y+1/2,z'
loop_
_atom_site_label
_atom_site_type_symbol
_atom_site_fract_x
_atom_site_fract_y
_atom_site_fract_z
_atom_site_occupancy
Th1 Th 0.000 0.000 0.000 1
Th2 Th 0.092 0.378 0.773 1
Th3 Th 0.185 0.125 0.631 1
Th4 Th 0.280 0.500 0.375 1
Th5 Th 0.416 0.242 0.187 1
Zn1 Zn 0.387 0.000 0.204 1
Co1 Co 0.343 0.302 0.622 1